# PaV2NiO8 PBE+U relaxed
data_PaV2NiO8
_cell_length_a 5.844
_cell_length_b 5.844
_cell_length_c 5.862
_cell_angle_alpha 90.00
_cell_angle_beta 90.00
_cell_angle_gamma 120.00
_symmetry_space_group_name_H-M 'P 1'
_symmetry_Int_Tables_number 1
loop_
_symmetry_equiv_pos_as_xyz
'x,y,z'
loop_
_atom_site_label
_atom_site_type_symbol
_atom_site_fract_x
_atom_site_fract_y
_atom_site_fract_z
O1 O 0.681 0.841 0.745
V1 V 0.333 0.667 0.652
O2 O 0.667 0.333 0.625
O3 O 0.333 0.667 0.375
Pa1 Pa 0.000 0.000 0.000
V2 V 0.667 0.333 0.348
O4 O 0.159 0.319 0.745
O5 O 0.319 0.159 0.255
O6 O 0.159 0.841 0.745
O7 O 0.841 0.159 0.255
O8 O 0.841 0.681 0.255
Ni1 Ni 0.000 0.000 0.500
# DOS at the Fermi energy, states/eV per atom: 0.553
# Final energy, eV/atom: -7.624